1.
First-principles (PBE) data for a relaxed structure of Li3Ho3TaS8, as listed in Alexandria.

The structure in CIF format:
```
data_Li3Ho3TaS8
_cell_length_a 7.6263
_cell_length_b 7.6263
_cell_length_c 18.5539
_cell_angle_alpha 90.00
_cell_angle_beta 90.00
_cell_angle_gamma 120.00
_symmetry_space_group_name_H-M 'R -3 m'
_symmetry_Int_Tables_number 166
_symmetry_space_group_name_Hall '-R 3 2"'
loop_
_atom_site_label
_atom_site_fract_x
_atom_site_fract_y
_atom_site_fract_z
Li1 0.0000 0.5000 0.0000
Ho1 0.0000 0.5000 0.5000
Ta1 0.0000 0.0000 0.5000
S1 0.0000 0.0000 0.2513
S2 0.0249 0.5124 0.2462
```

Computed properties:
N(E_F) ... 13.051 states/eV per cell
Energy relative to the elements, uncorrected ... -2377 kJ/mol of formula units
Size of the total moment ... 0.0228 μB/atom
Total DFT energy (no corrections) ... -5.932 eV/atom
ρ ... 5.08 g cm⁻³

---

2.
First-principles (PBE) data for a relaxed structure of Y2MnIn, as listed in Alexandria.

The structure in CIF format:
```
data_Y2MnIn
_cell_length_a 4.8550
_cell_length_b 4.8550
_cell_length_c 4.2038
_cell_angle_alpha 90.00
_cell_angle_beta 90.00
_cell_angle_gamma 90.00
_symmetry_space_group_name_H-M 'P 4/m m m'
_symmetry_Int_Tables_number 123
_symmetry_space_group_name_Hall '-P 4 2'
loop_
_atom_site_label
_atom_site_fract_x
_atom_site_fract_y
_atom_site_fract_z
Y1 0.0000 0.5000 0.0000
Mn1 0.0000 0.0000 0.5000
In1 0.5000 0.5000 0.5000
```

Computed properties:
N(E_F) ... 4.478 states/eV per cell
Energy relative to the elements ... -114 meV/atom
Size of the total moment ... 0.8056 μB/atom
Total DFT energy (no corrections) ... -6.323 eV/atom
ρ ... 5.82 g cm⁻³